Material: Pr4Dy4Y3
Method: DFT, PBE
State: optimized geometry

Properties
calculated formation energy: 0.055 eV per atom

Structure (extended XYZ):
```
11
Lattice="3.567 0.000 0.000 -0.001 5.719 0.000 -1.783 -2.859 17.955" Properties=species:S:1:pos:R:3 pbc="T T T"
Pr 0.001 -0.002 3.253
Pr -0.001 2.859 8.317
Pr 1.784 0.001 9.637
Pr 1.781 2.861 14.702
Dy 0.002 2.858 1.627
Dy 0.001 -0.001 6.491
Dy 1.782 2.860 11.463
Dy 1.781 0.002 16.328
Y -0.002 0.003 13.083
Y 1.783 0.000 0.000
Y 1.785 2.857 4.872
```

Material: Pr14DyY
Method: DFT, PBE
State: optimized geometry

Properties
calculated formation energy: 0.012 eV per atom

Structure (extended XYZ):
```
16
Lattice="7.389 0.000 0.000 0.000 7.389 0.000 0.000 0.000 10.460" Properties=species:S:1:pos:R:3 pbc="T T T"
Pr 0.000 0.000 0.000
Pr 0.000 3.695 0.000
Pr 0.000 3.695 5.230
Pr 1.845 1.845 2.639
Pr 1.845 1.845 7.821
Pr 1.845 5.544 2.639
Pr 1.845 5.544 7.821
Pr 3.695 0.000 0.000
Pr 3.695 0.000 5.230
Pr 3.695 3.695 0.000
Pr 5.544 1.845 2.639
Pr 5.544 1.845 7.821
Pr 5.544 5.544 2.639
Pr 5.544 5.544 7.821
Dy 0.000 0.000 5.230
Y 3.695 3.695 5.230
```

Material: PrDy6Y12
Method: DFT, PBE
State: optimized geometry

Properties
calculated formation energy: 0.022 eV per atom

Structure (extended XYZ):
```
19
Lattice="7.777 4.490 2.915 -7.777 4.490 2.915 0.000 -8.980 2.915" Properties=species:S:1:pos:R:3 pbc="T T T"
Pr 0.000 0.000 0.000
Dy -2.461 -3.308 2.911
Dy -1.635 3.786 2.911
Dy -4.096 0.477 5.835
Dy 4.096 -0.477 2.911
Dy 1.635 -3.786 5.835
Dy 2.461 3.308 5.835
Y -4.900 2.354 2.925
Y 0.411 -5.421 2.925
Y -2.060 0.231 2.926
Y -4.489 -3.066 5.821
Y 0.830 -1.899 2.926
Y 1.230 1.669 2.926
Y -1.230 -1.669 5.820
Y -0.830 1.899 5.820
Y 4.489 3.066 2.925
Y 2.060 -0.231 5.820
Y -0.411 5.421 5.821
Y 4.900 -2.354 5.821
```

Material: Pr3Dy3Y5
Method: DFT, PBE
State: optimized geometry

Properties
calculated formation energy: 0.768 eV per atom

Structure (extended XYZ):
```
11
Lattice="9.735 0.000 0.000 -4.868 8.431 0.000 0.000 0.000 5.580" Properties=species:S:1:pos:R:3 pbc="T T T"
Pr -2.807 4.861 0.000
Pr 2.061 3.570 0.000
Pr 5.613 0.000 0.000
Dy -3.533 6.119 2.790
Dy 1.335 2.312 2.790
Dy 7.066 0.000 2.790
Y -1.778 3.080 2.790
Y 0.000 5.621 2.790
Y 3.556 0.000 2.790
Y 3.090 5.351 2.790
Y 4.868 2.810 2.790
```

Material: Pr2DyY2
Method: DFT, PBE
State: optimized geometry

Properties
calculated formation energy: 0.104 eV per atom

Structure (extended XYZ):
```
5
Lattice="4.819 -2.975 0.000 4.819 2.975 0.000 -2.636 0.000 5.886" Properties=species:S:1:pos:R:3 pbc="T T T"
Pr 0.179 0.000 1.817
Pr 6.823 0.000 4.069
Dy 3.501 0.000 2.943
Y 0.509 0.000 5.373
Y 6.493 0.000 0.513
```

Material: Pr4Dy5Y3
Method: DFT, PBE
State: optimized geometry

Properties
calculated formation energy: 0.227 eV per atom

Structure (extended XYZ):
```
12
Lattice="8.125 -2.983 0.000 8.125 2.983 0.000 -4.309 0.000 8.459" Properties=species:S:1:pos:R:3 pbc="T T T"
Pr -0.546 0.000 3.790
Pr -0.285 0.000 7.460
Pr 12.226 0.000 0.999
Pr 12.487 0.000 4.669
Dy 0.000 0.000 0.000
Dy 2.694 0.000 5.212
Dy 5.704 0.000 2.524
Dy 6.238 0.000 5.935
Dy 9.248 0.000 3.247
Y 2.437 0.000 1.995
Y 8.125 0.000 0.000
Y 9.504 0.000 6.464
```

Material: Pr12DyY7
Method: DFT, PBE
State: optimized geometry

Properties
calculated formation energy: 0.272 eV per atom

Structure (extended XYZ):
```
20
Lattice="9.527 5.500 2.290 -9.527 5.500 2.290 0.000 -11.001 2.290" Properties=species:S:1:pos:R:3 pbc="T T T"
Pr -4.005 -0.014 1.976
Pr -0.627 -5.603 2.814
Pr -5.166 -2.259 4.057
Pr -4.539 3.345 2.814
Pr 2.015 -3.462 1.976
Pr 1.991 3.475 1.976
Pr -1.991 -3.475 4.894
Pr -2.014 3.462 4.894
Pr 4.539 -3.345 4.057
Pr 5.166 2.259 2.814
Pr 0.627 5.603 4.057
Pr 4.005 0.014 4.894
Dy 0.000 0.000 0.000
Y -1.331 -2.540 1.516
Y -1.534 2.423 1.516
Y 2.865 0.117 1.516
Y 0.000 0.000 3.435
Y -2.865 -0.117 5.354
Y 1.534 -2.423 5.354
Y 1.331 2.540 5.354
```

Material: PrDy2Y7
Method: DFT, PBE
State: optimized geometry

Properties
calculated formation energy: 0.022 eV per atom

Structure (extended XYZ):
```
10
Lattice="6.196 0.000 0.000 -1.034 6.117 0.000 -3.083 -2.623 8.557" Properties=species:S:1:pos:R:3 pbc="T T T"
Pr 0.000 0.000 0.000
Dy 0.003 -1.046 3.432
Dy 2.075 4.541 5.125
Y -2.059 1.747 4.279
Y -2.050 0.695 7.695
Y -1.022 4.021 6.824
Y 1.029 2.277 2.580
Y 1.049 1.217 5.977
Y 3.100 -0.527 1.734
Y 4.128 2.799 0.862
```

Material: Pr3DyY2
Method: DFT, PBE
State: optimized geometry

Properties
calculated formation energy: 0.085 eV per atom

Structure (extended XYZ):
```
6
Lattice="8.966 -2.982 0.000 8.966 2.982 0.000 -0.005 0.000 3.834" Properties=species:S:1:pos:R:3 pbc="T T T"
Pr 0.000 0.000 0.000
Pr 6.009 0.000 3.833
Pr 11.918 0.000 0.001
Dy 8.963 0.000 1.917
Y 3.013 0.000 1.919
Y 14.913 0.000 1.915
```

Material: Pr4DyY6
Method: DFT, PBE
State: optimized geometry

Properties
calculated formation energy: 0.164 eV per atom

Structure (extended XYZ):
```
11
Lattice="11.053 0.000 0.000 -5.527 9.572 0.000 0.000 0.000 3.615" Properties=species:S:1:pos:R:3 pbc="T T T"
Pr 0.000 0.000 0.000
Pr 5.527 0.129 1.807
Pr 2.875 4.722 1.807
Pr 8.178 4.722 1.807
Dy 5.527 3.191 0.000
Y 0.000 3.547 0.000
Y -2.455 7.799 0.000
Y 2.496 1.441 1.807
Y 2.455 7.799 0.000
Y 8.557 1.441 1.807
Y 5.527 6.690 1.807
```

Material: PrDy6Y
Method: DFT, PBE
State: optimized geometry

Properties
calculated formation energy: 0.197 eV per atom

Structure (extended XYZ):
```
8
Lattice="6.564 0.000 0.000 -0.003 6.569 0.000 -3.267 -3.216 6.006" Properties=species:S:1:pos:R:3 pbc="T T T"
Pr 0.000 0.000 0.000
Dy 0.005 2.176 2.815
Dy -1.610 0.070 6.005
Dy 0.009 -1.112 3.197
Dy 3.285 4.464 2.809
Dy 4.904 3.282 0.001
Dy 3.288 1.177 3.191
Y 3.282 0.000 0.000
```

Material: Pr12Dy5Y2
Method: DFT, PBE
State: optimized geometry

Properties
calculated formation energy: 0.128 eV per atom

Structure (extended XYZ):
```
19
Lattice="7.736 -5.327 0.000 7.736 5.327 0.000 -0.490 0.000 8.125" Properties=species:S:1:pos:R:3 pbc="T T T"
Pr 0.734 0.000 1.724
Pr 4.507 2.399 5.747
Pr 6.030 2.913 0.915
Pr 8.953 2.913 7.209
Pr 5.445 0.000 3.169
Pr 10.475 2.399 2.378
Pr 4.507 -2.399 5.747
Pr 9.538 0.000 4.956
Pr 6.030 -2.913 0.915
Pr 8.953 -2.913 7.209
Pr 10.475 -2.399 2.378
Pr 14.248 0.000 6.401
Dy 2.105 0.000 4.824
Dy 3.985 0.000 0.102
Dy 7.736 0.000 0.000
Dy 10.997 0.000 8.023
Dy 12.877 0.000 3.301
Y 7.491 2.820 4.062
Y 7.491 -2.820 4.062
```

Material: Pr3Dy2Y4
Method: DFT, PBE
State: optimized geometry

Properties
calculated formation energy: 0.018 eV per atom

Structure (extended XYZ):
```
9
Lattice="5.986 -1.807 0.000 5.986 1.807 0.000 -5.416 0.000 13.862" Properties=species:S:1:pos:R:3 pbc="T T T"
Pr 0.000 0.000 0.000
Pr -1.084 0.000 6.125
Pr 7.641 0.000 7.737
Dy 1.125 0.000 10.810
Dy 5.432 0.000 3.052
Y -2.153 0.000 12.320
Y 2.160 0.000 4.584
Y 4.397 0.000 9.278
Y 8.710 0.000 1.542
```

Material: PrDy5Y6
Method: DFT, PBE
State: optimized geometry

Properties
calculated formation energy: 0.022 eV per atom

Structure (extended XYZ):
```
12
Lattice="5.927 -5.359 0.000 5.927 5.359 0.000 -1.085 0.000 6.082" Properties=species:S:1:pos:R:3 pbc="T T T"
Pr 0.000 0.000 0.000
Dy 5.385 3.554 3.041
Dy 5.927 1.775 0.000
Dy 5.385 0.000 3.041
Dy 5.927 -1.775 0.000
Dy 5.385 -3.554 3.041
Y 2.700 1.791 1.520
Y 2.160 0.000 4.557
Y 2.700 -1.791 1.520
Y 8.069 1.791 4.562
Y 8.609 0.000 1.526
Y 8.069 -1.791 4.562
```

Material: Pr5DyY2
Method: DFT, PBE
State: optimized geometry

Properties
calculated formation energy: 0.014 eV per atom

Structure (extended XYZ):
```
16
Lattice="7.305 0.000 0.000 0.000 14.621 0.000 0.000 0.000 5.179" Properties=species:S:1:pos:R:3 pbc="T T T"
Pr 0.000 0.000 0.000
Pr 0.010 3.679 0.000
Pr 1.808 9.122 2.589
Pr 1.844 1.811 2.589
Pr 3.642 10.990 0.000
Pr 3.652 7.311 0.000
Pr 3.663 3.631 0.000
Pr 5.461 12.810 2.589
Pr 5.497 5.500 2.589
Pr 7.295 10.942 0.000
Dy 0.000 7.311 0.000
Dy 3.652 0.000 0.000
Y 1.829 5.502 2.589
Y 1.823 12.813 2.589
Y 5.482 1.808 2.589
Y 5.475 9.119 2.589
```

Material: PrDy7Y5
Method: DFT, PBE
State: optimized geometry

Properties
calculated formation energy: 0.262 eV per atom

Structure (extended XYZ):
```
13
Lattice="-3.370 5.574 5.799 3.370 -5.574 5.799 3.370 5.574 -5.799" Properties=species:S:1:pos:R:3 pbc="T T T"
Pr 0.000 0.000 0.000
Dy 3.370 1.900 0.571
Dy 0.000 0.000 3.468
Dy 0.000 3.664 0.566
Dy 0.000 0.000 6.992
Dy 0.000 7.485 0.566
Dy 0.000 5.574 3.437
Dy 0.000 3.675 6.370
Y 1.578 2.537 -2.346
Y 5.161 2.537 -2.346
Y 3.370 0.000 3.499
Y -1.791 3.037 3.453
Y 1.791 3.037 3.453
```

Material: PrDy2Y7
Method: DFT, PBE
State: optimized geometry

Properties
calculated formation energy: 0.692 eV per atom

Structure (extended XYZ):
```
10
Lattice="4.422 -7.962 0.000 4.422 7.962 0.000 0.000 0.000 5.684" Properties=species:S:1:pos:R:3 pbc="T T T"
Pr 0.000 0.000 0.000
Dy 4.422 3.231 2.842
Dy 4.422 -3.231 2.842
Y 1.570 1.873 2.842
Y 4.422 4.383 0.000
Y 1.570 -1.873 2.842
Y 4.422 0.000 2.842
Y 7.273 1.873 2.842
Y 4.422 -4.383 0.000
Y 7.273 -1.873 2.842
```

Material: Pr9Dy2Y
Method: DFT, PBE
State: optimized geometry

Properties
calculated formation energy: 0.013 eV per atom

Structure (extended XYZ):
```
12
Lattice="5.197 0.000 0.000 0.000 5.197 0.000 0.000 0.000 15.589" Properties=species:S:1:pos:R:3 pbc="T T T"
Pr 0.000 0.000 0.000
Pr 0.000 0.000 5.203
Pr 0.000 0.000 10.386
Pr 0.000 2.598 2.608
Pr 0.000 2.598 7.794
Pr 0.000 2.598 12.981
Pr 2.598 0.000 2.608
Pr 2.598 0.000 7.794
Pr 2.598 0.000 12.981
Dy 2.598 2.598 5.197
Dy 2.598 2.598 10.392
Y 2.598 2.598 0.000
```

Material: Pr2DyY12
Method: DFT, PBE
State: optimized geometry

Properties
calculated formation energy: 0.165 eV per atom

Structure (extended XYZ):
```
30
Lattice="3.558 -5.725 0.000 3.558 5.725 0.000 0.000 0.000 24.994" Properties=species:S:1:pos:R:3 pbc="T T T"
Pr 3.558 2.863 5.872
Pr 3.558 2.863 19.244
Pr 3.558 -2.863 5.750
Pr 3.558 -2.863 19.122
Dy 3.558 2.863 12.499
Dy 3.558 -2.863 12.495
Y 3.558 5.721 10.587
Y 3.558 -5.721 14.407
Y 5.333 -2.863 9.363
Y 1.782 2.863 15.631
Y 1.855 2.863 2.108
Y 3.558 5.569 23.474
Y 1.779 0.000 4.309
Y 1.779 0.000 7.544
Y 1.779 0.000 17.450
Y 1.779 0.000 20.685
Y 3.558 0.156 23.474
Y 5.260 2.863 2.108
Y 1.782 -2.863 9.363
Y 5.333 2.863 15.631
Y 3.558 0.004 10.587
Y 3.558 -0.004 14.407
Y 1.855 -2.863 22.886
Y 3.558 -0.156 1.520
Y 5.336 0.000 4.309
Y 5.336 0.000 7.544
Y 5.336 0.000 17.450
Y 5.336 0.000 20.685
Y 3.558 -5.569 1.520
Y 5.260 -2.863 22.886
```